CaNpVO6 GGA+U relaxed; calculated total energy = -151.76 eV for the cell shown
1.0
5.3803 0.0000 0.0000
-2.6901 4.6594 0.0000
0.0000 0.0000 9.9546
O Np Ca V
12 2 2 2
direct
0.6292 0.9855 0.8567
0.9855 0.6292 0.3567
0.3708 0.3563 0.3567
0.6292 0.6437 0.6433
0.3563 0.9855 0.6433
0.6437 0.0145 0.3567
0.0145 0.3708 0.6433
0.3708 0.0145 0.1433
0.3563 0.3708 0.8567
0.6437 0.6292 0.1433
0.9855 0.3563 0.1433
0.0145 0.6437 0.8567
0.6667 0.3333 0.7500
0.3333 0.6667 0.2500
0.0000 0.0000 0.0000
0.0000 0.0000 0.5000
0.6667 0.3333 0.2500
0.3333 0.6667 0.7500